Entry from the Alexandria database: ZnCdIn2Hg after structural relaxation (PBE).

Cell: 5.2803 5.2803 5.1308 Å, 90.00 90.00 90.00°
Last column: nearest neighbours and their distance in Å.
Fractional coordinates of all 5 atoms:
Zn 0.0000 0.0000 0.0000  2 Cd 2.57, 4 In 2.64
Cd 0.0000 0.0000 0.5000  2 Zn 2.57
In 0.0000 0.5000 0.0000  2 Zn 2.64
In 0.5000 0.0000 0.0000  2 Zn 2.64
Hg 0.5000 0.5000 0.5000  8 In 3.68, 4 Cd 3.73

Properties
DOS(E_F), states/eV/atom: 0.60
Space group: P4/mmm (123)
Formation energy, kJ per mole of atoms: 18.3
DFT total energy, eV/atom: -1.404